Arrangement a

The following is a PBE-GGA calculation of a relaxed structure of PrSm6Y4, from Alexandria.

Values from the calculation:
Space group = I-42m, No. 121
Total magnetization = 0.000 μB per formula unit

Lattice parameters (Å, degrees): 9.803 9.803 9.803 140.01 140.01 57.83
Positions (direct):
Pr  0.000  0.000  0.000
Sm  0.000  0.500  0.500
Sm  0.013  0.637  0.000
Sm  0.363  0.363  0.376
Sm  0.500  0.000  0.500
Sm  0.637  0.013  0.000
Sm  0.987  0.987  0.624
Y  0.194  0.194  0.643
Y  0.449  0.806  0.000
Y  0.551  0.551  0.357
Y  0.806  0.449  0.000


Arrangement b

The following is a PBE-GGA calculation of a relaxed structure of PrSm6Y4, from Alexandria.

Values from the calculation:
Space group = I-42m, No. 121
Total magnetization = 0.000 μB per formula unit

Lattice parameters (Å, degrees): 9.933 9.933 9.933 141.31 141.31 55.88
Positions (direct):
Pr  0.000  0.000  0.000
Sm  0.000  0.500  0.500
Sm  0.190  0.547  0.000
Sm  0.453  0.453  0.643
Sm  0.500  0.000  0.500
Sm  0.547  0.190  0.000
Sm  0.810  0.810  0.357
Y  0.009  0.009  0.373
Y  0.364  0.991  0.000
Y  0.636  0.636  0.627
Y  0.991  0.364  0.000


Most stable: arrangement b. Least stable: arrangement a.


Arrangement a

The following is a PBE-GGA calculation of a relaxed structure of Pr6Sm2Y, from Alexandria.

Values from the calculation:
Space group = Cmmm, No. 65
Total magnetization = 0.000 μB per formula unit

Lattice parameters (Å, degrees): 10.222 10.222 3.698 90.00 90.00 124.13
Positions (direct):
Pr  0.011  0.340  0.000
Pr  0.183  0.183  0.500
Pr  0.340  0.011  0.000
Pr  0.660  0.989  0.000
Pr  0.817  0.817  0.500
Pr  0.989  0.660  0.000
Sm  0.324  0.676  0.500
Sm  0.676  0.324  0.500
Y  0.500  0.500  0.000


Arrangement b

The following is a PBE-GGA calculation of a relaxed structure of Pr6Sm2Y, from Alexandria.

Values from the calculation:
Space group = P4_2/mnm, No. 136
Total magnetization = 0.000 μB per formula unit

Lattice parameters (Å, degrees): 8.363 8.363 10.638 90.00 90.00 90.00
Positions (direct):
Pr  0.238  0.238  0.000
Pr  0.239  0.239  0.333
Pr  0.239  0.239  0.667
Pr  0.261  0.739  0.167
Pr  0.261  0.739  0.833
Pr  0.262  0.738  0.500
Pr  0.738  0.262  0.500
Pr  0.739  0.261  0.167
Pr  0.739  0.261  0.833
Pr  0.761  0.761  0.333
Pr  0.761  0.761  0.667
Pr  0.762  0.762  0.000
Sm  0.000  0.000  0.168
Sm  0.000  0.000  0.832
Sm  0.500  0.500  0.332
Sm  0.500  0.500  0.668
Y  0.000  0.000  0.500
Y  0.500  0.500  0.000


Most stable: arrangement a. Least stable: arrangement b.


Arrangement a

The following is a PBE-GGA calculation of a relaxed structure of Pr4SmY, from Alexandria.

Values from the calculation:
Space group = R-3m, No. 166
Total magnetization = 0.056 μB per formula unit

Lattice parameters (Å, degrees): 7.669 7.669 7.669 46.32 46.32 46.32
Positions (direct):
Pr  0.166  0.166  0.166
Pr  0.334  0.334  0.334
Pr  0.666  0.666  0.666
Pr  0.834  0.834  0.834
Sm  0.000  0.000  0.000
Y  0.500  0.500  0.500


Arrangement b

The following is a PBE-GGA calculation of a relaxed structure of Pr4SmY, from Alexandria.

Values from the calculation:
Space group = Cmmm, No. 65
Total magnetization = 0.000 μB per formula unit

Lattice parameters (Å, degrees): 8.385 8.385 3.528 90.00 90.00 90.30
Positions (direct):
Pr  0.238  0.762  0.000
Pr  0.261  0.261  0.500
Pr  0.739  0.739  0.500
Pr  0.762  0.238  0.000
Sm  0.500  0.500  0.000
Y  0.000  0.000  0.500


Arrangement c

The following is a PBE-GGA calculation of a relaxed structure of Pr4SmY, from Alexandria.

Values from the calculation:
Space group = F-43m, No. 216
Total magnetization = 0.000 μB per formula unit

Lattice parameters (Å, degrees): 6.755 6.755 6.755 60.00 60.00 60.00
Positions (direct):
Pr  0.125  0.125  0.125
Pr  0.125  0.125  0.624
Pr  0.125  0.624  0.125
Pr  0.624  0.125  0.125
Sm  0.750  0.750  0.750
Y  0.500  0.500  0.500


Most stable: arrangement c. Least stable: arrangement b.


Arrangement a

The following is a PBE-GGA calculation of a relaxed structure of Pr2Sm5Y12, from Alexandria.

Values from the calculation:
Space group = P-1, No. 2
Total magnetization = 0.000 μB per formula unit

Lattice parameters (Å, degrees): 6.203 8.931 11.796 91.15 102.59 96.43
Positions (direct):
Pr  0.123  0.468  0.399
Pr  0.877  0.532  0.601
Sm  0.000  0.000  0.000
Sm  0.431  0.950  0.844
Sm  0.482  0.581  0.747
Sm  0.518  0.419  0.253
Sm  0.569  0.050  0.156
Y  0.057  0.633  0.899
Y  0.127  0.093  0.310
Y  0.199  0.738  0.206
Y  0.241  0.217  0.630
Y  0.314  0.840  0.531
Y  0.370  0.316  0.944
Y  0.630  0.684  0.056
Y  0.686  0.160  0.469
Y  0.759  0.783  0.370
Y  0.801  0.262  0.794
Y  0.873  0.907  0.690
Y  0.943  0.367  0.101


Arrangement b

The following is a PBE-GGA calculation of a relaxed structure of Pr2Sm5Y12, from Alexandria.

Values from the calculation:
Space group = C2/m, No. 12
Total magnetization = 0.000 μB per formula unit

Lattice parameters (Å, degrees): 9.146 9.146 8.719 91.70 91.70 62.01
Positions (direct):
Pr  0.176  0.824  0.000
Pr  0.824  0.176  0.000
Sm  0.204  0.204  0.018
Sm  0.270  0.270  0.427
Sm  0.500  0.500  0.500
Sm  0.730  0.730  0.573
Sm  0.796  0.796  0.982
Y  0.058  0.058  0.332
Y  0.061  0.681  0.340
Y  0.171  0.528  0.760
Y  0.319  0.939  0.660
Y  0.421  0.421  0.125
Y  0.472  0.829  0.240
Y  0.528  0.171  0.760
Y  0.579  0.579  0.875
Y  0.681  0.061  0.340
Y  0.829  0.472  0.240
Y  0.939  0.319  0.660
Y  0.942  0.942  0.668


Most stable: arrangement a. Least stable: arrangement b.